1.
CaTb4SmSe8 (PBE, relaxed); raw formation energy = -1.8028 eV per atom; VASP energy = -5.597 eV/atom
1.0
4.249 2.453 6.973
-4.249 2.453 6.973
0.000 -4.906 6.973
Ca Tb Sm Se
1 4 1 8
direct
0.000 0.000 0.000
0.119 0.628 0.628
0.251 0.251 0.251
0.628 0.119 0.628
0.628 0.628 0.119
0.628 0.628 0.628
0.381 0.381 0.854
0.381 0.854 0.381
0.384 0.384 0.384
0.403 0.869 0.869
0.854 0.381 0.381
0.866 0.866 0.866
0.869 0.403 0.869
0.869 0.869 0.403



2.
CaTb4Sm3Se8 (PBE, relaxed); raw formation energy = -1.8112 eV per atom; VASP energy = -5.721 eV/atom
1.0
4.137 2.388 6.750
-4.137 2.388 6.750
0.000 -4.777 6.750
Ca Tb Sm Se
1 4 3 8
direct
0.000 0.000 0.000
0.000 0.000 0.500
0.000 0.500 0.000
0.500 0.000 0.000
0.500 0.500 0.500
0.000 0.500 0.500
0.500 0.000 0.500
0.500 0.500 0.000
0.245 0.750 0.750
0.248 0.248 0.248
0.250 0.250 0.755
0.250 0.755 0.250
0.750 0.245 0.750
0.750 0.750 0.245
0.752 0.752 0.752
0.755 0.250 0.250



3.
Ca2TbSmSe4 (PBE, relaxed); raw formation energy = -1.8898 eV per atom; VASP energy = -5.301 eV/atom
1.0
7.162 0.000 0.000
0.000 4.136 0.000
-2.390 0.000 6.896
Ca Tb Sm Se
2 1 1 4
direct
0.000 0.000 0.000
0.500 0.500 0.000
0.000 0.500 0.500
0.500 0.000 0.500
0.246 0.000 0.749
0.246 0.500 0.249
0.754 0.000 0.251
0.754 0.500 0.751



4.
Ca3TbSm3Se8 (PBE, relaxed); raw formation energy = -1.9272 eV per atom; VASP energy = -5.438 eV/atom
1.0
4.159 2.401 6.884
-4.159 2.401 6.884
0.000 -4.802 6.884
Ca Tb Sm Se
3 1 3 8
direct
0.000 0.500 0.500
0.500 0.000 0.500
0.500 0.500 0.000
0.500 0.500 0.500
0.000 0.000 0.500
0.000 0.500 0.000
0.500 0.000 0.000
0.251 0.251 0.251
0.252 0.746 0.746
0.254 0.254 0.748
0.254 0.748 0.254
0.746 0.252 0.746
0.746 0.746 0.252
0.748 0.254 0.254
0.749 0.749 0.749



5.
CaTb2SmSe4 (PBE, relaxed); raw formation energy = -1.8360 eV per atom; VASP energy = -5.576 eV/atom
1.0
7.164 0.000 0.000
0.000 4.116 0.000
-2.353 0.000 6.790
Ca Tb Sm Se
1 2 1 4
direct
0.000 0.000 0.000
0.500 0.000 0.500
0.500 0.500 0.000
0.000 0.500 0.500
0.254 0.000 0.755
0.254 0.500 0.249
0.746 0.000 0.245
0.746 0.500 0.751



6.
Ca4Tb3SmSe8 (PBE, relaxed); raw formation energy = -1.8872 eV per atom; VASP energy = -5.293 eV/atom
1.0
4.125 2.382 6.877
-4.125 2.382 6.877
0.000 -4.763 6.877
Ca Tb Sm Se
4 3 1 8
direct
0.000 0.000 0.000
0.000 0.500 0.500
0.500 0.000 0.500
0.500 0.500 0.000
0.000 0.000 0.500
0.000 0.500 0.000
0.500 0.000 0.000
0.500 0.500 0.500
0.246 0.751 0.751
0.249 0.249 0.249
0.249 0.249 0.754
0.249 0.754 0.249
0.751 0.246 0.751
0.751 0.751 0.246
0.751 0.751 0.751
0.754 0.249 0.249



7.
Ca2SmThSe4 (PBE, relaxed); raw formation energy = -1.7924 eV per atom; VASP energy = -5.552 eV/atom
1.0
7.154 0.000 0.000
0.000 4.120 0.000
-2.368 0.000 7.058
Ca Sm Th Se
2 1 1 4
direct
0.000 0.000 0.000
0.500 0.500 0.000
0.000 0.500 0.500
0.500 0.000 0.500
0.246 0.500 0.242
0.251 0.000 0.755
0.749 0.000 0.245
0.754 0.500 0.758



8.
Ca3Sm2ThSe6 (PBE, relaxed); raw formation energy = -1.8268 eV per atom; VASP energy = -5.474 eV/atom
1.0
9.213 -2.066 0.000
9.213 2.066 0.000
-2.223 0.000 8.194
Ca Sm Th Se
3 2 1 6
direct
0.000 0.000 0.000
0.333 0.333 0.669
0.667 0.667 0.331
0.337 0.337 0.175
0.663 0.663 0.825
0.000 0.000 0.500
0.168 0.168 0.082
0.169 0.169 0.579
0.497 0.497 0.756
0.503 0.503 0.244
0.831 0.831 0.421
0.832 0.832 0.918